No. 1
A plane-wave DFT calculation with PBE was carried out for a geometry-optimized Rb2Sm2IrO6 structure.

a = 5.909 Å, b = 5.909 Å, c = 6.896 Å
α = 97.41°, β = 97.41°, γ = 119.42°
Site moments in Bohr magnetons follow the coordinates.
Atoms (fractional coordinates):
Rb: 0.838 0.162 0.000  0.00
Rb: 0.162 0.838 0.000  0.00
Sm: 0.335 0.665 0.500  0.01
Sm: 0.665 0.335 0.500  0.01
Ir: 0.000 0.000 0.500  0.65
O: 0.753 0.753 0.669  0.05
O: 0.046 0.351 0.665  0.05
O: 0.247 0.247 0.331  0.05
O: 0.351 0.046 0.665  0.05
O: 0.954 0.649 0.335  0.05
O: 0.649 0.954 0.335  0.05

Properties
Its density of states at the Fermi level is 8.133 states/eV/cell. Its uncorrected formation energy is -2.04 eV/atom. The total magnetization is 0.096 μB per atom.


No. 2
A plane-wave DFT calculation with PBE was carried out for a geometry-optimized Rb2SmIrO6 structure.

a = 5.924 Å, b = 6.447 Å, c = 6.447 Å
α = 120.00°, β = 90.00°, γ = 90.00°
Site moments in Bohr magnetons follow the coordinates.
Atoms (fractional coordinates):
Rb: 0.114 0.333 0.667  0.01
Rb: 0.886 0.667 0.333  0.01
Sm: 0.500 0.000 0.000  0.05
Ir: 0.000 0.000 0.000  0.99
O: 0.799 0.137 0.274  0.12
O: 0.799 0.137 0.863  0.12
O: 0.799 0.726 0.863  0.12
O: 0.201 0.863 0.137  0.12
O: 0.201 0.274 0.137  0.12
O: 0.201 0.863 0.726  0.12

Properties
Its density of states at the Fermi level is 5.602 states/eV/cell. Its uncorrected formation energy is -1.52 eV/atom. The total magnetization is 0.204 μB per atom.


No. 3
A plane-wave DFT calculation with PBE was carried out for a geometry-optimized Rb2SmIr3O12 structure.

a = 7.689 Å, b = 7.689 Å, c = 7.689 Å
α = 56.92°, β = 56.92°, γ = 56.92°
Site moments in Bohr magnetons follow the coordinates.
Atoms (fractional coordinates):
Rb: 0.609 0.609 0.609  0.00
Rb: 0.391 0.391 0.391  0.00
Sm: 0.000 0.000 0.000  0.03
Ir: 0.500 0.000 0.000  0.69
Ir: 0.000 0.500 0.000  0.69
Ir: 0.000 0.000 0.500  0.69
O: 0.309 0.309 0.913  0.03
O: 0.922 0.922 0.364  0.30
O: 0.364 0.922 0.922  0.30
O: 0.913 0.309 0.309  0.03
O: 0.922 0.364 0.922  0.30
O: 0.309 0.913 0.309  0.03
O: 0.691 0.691 0.087  0.03
O: 0.078 0.078 0.636  0.30
O: 0.636 0.078 0.078  0.30
O: 0.087 0.691 0.691  0.03
O: 0.078 0.636 0.078  0.30
O: 0.691 0.087 0.691  0.03

Properties
Its density of states at the Fermi level is 8.909 states/eV/cell. Its uncorrected formation energy is -1.17 eV/atom. The total magnetization is 0.258 μB per atom.


No. 4
A plane-wave DFT calculation with PBE was carried out for a geometry-optimized Rb2SmIrO4 structure.

a = 5.879 Å, b = 5.879 Å, c = 5.879 Å
α = 101.89°, β = 113.39°, γ = 113.39°
Site moments in Bohr magnetons follow the coordinates.
Atoms (fractional coordinates):
Rb: 0.500 0.750 0.250  0.00
Rb: 0.000 0.000 0.000  0.00
Sm: 0.500 0.250 0.750  0.01
Ir: 0.000 0.500 0.500  1.26
O: 0.596 0.279 0.419  0.14
O: 0.140 0.317 0.721  0.14
O: 0.860 0.581 0.177  0.14
O: 0.404 0.823 0.683  0.14

Properties
Its density of states at the Fermi level is 4.531 states/eV/cell. Its uncorrected formation energy is -1.59 eV/atom. The total magnetization is 0.250 μB per atom.


No. 5
A plane-wave DFT calculation with PBE was carried out for a geometry-optimized RbSm2IrO8 structure.

a = 5.398 Å, b = 4.175 Å, c = 7.374 Å
α = 74.52°, β = 89.95°, γ = 89.64°
Site moments in Bohr magnetons follow the coordinates.
Atoms (fractional coordinates):
Rb: 0.000 0.000 0.500  0.00
Sm: 0.511 0.374 0.791  0.01
Sm: 0.489 0.626 0.209  0.01
Ir: 0.000 0.000 0.000  0.42
O: 0.038 0.644 0.222  0.12
O: 0.698 0.810 0.911  0.03
O: 0.765 0.192 0.132  0.05
O: 0.962 0.356 0.778  0.12
O: 0.302 0.190 0.089  0.03
O: 0.235 0.808 0.868  0.05
O: 0.501 0.824 0.498  0.00
O: 0.499 0.176 0.502  0.00

Properties
Its density of states at the Fermi level is 5.485 states/eV/cell. Its uncorrected formation energy is -1.77 eV/atom. The total magnetization is 0.079 μB per atom.


No. 6
A plane-wave DFT calculation with PBE was carried out for a geometry-optimized Rb3Sm2IrO6 structure.

a = 6.000 Å, b = 6.000 Å, c = 6.814 Å
α = 98.39°, β = 98.39°, γ = 119.93°
Atoms (fractional coordinates):
Rb: 0.162 0.838 0.500
Rb: 0.838 0.162 0.500
Rb: 0.500 0.500 0.500
Sm: 0.333 0.667 0.000
Sm: 0.667 0.333 0.000
Ir: 0.000 0.000 0.000
O: 0.940 0.628 0.821
O: 0.746 0.746 0.178
O: 0.060 0.372 0.179
O: 0.628 0.940 0.821
O: 0.254 0.254 0.822
O: 0.372 0.060 0.179

Properties
Its density of states at the Fermi level is 0.000 states/eV/cell. Its uncorrected formation energy is -1.93 eV/atom. The total magnetization is 0.000 μB per atom.


No. 7
A plane-wave DFT calculation with PBE was carried out for a geometry-optimized Rb2SnIr3O12 structure.

a = 7.345 Å, b = 7.345 Å, c = 7.345 Å
α = 59.30°, β = 59.30°, γ = 59.30°
Site moments in Bohr magnetons follow the coordinates.
Atoms (fractional coordinates):
Rb: 0.621 0.621 0.621  0.01
Rb: 0.379 0.379 0.379  0.01
Sn: 0.000 0.000 0.000  0.01
Ir: 0.500 0.000 0.000  0.69
Ir: 0.000 0.500 0.000  0.69
Ir: 0.000 0.000 0.500  0.69
O: 0.314 0.314 0.921  0.05
O: 0.923 0.923 0.340  0.26
O: 0.340 0.923 0.923  0.26
O: 0.921 0.314 0.314  0.05
O: 0.923 0.340 0.923  0.26
O: 0.314 0.921 0.314  0.05
O: 0.686 0.686 0.079  0.05
O: 0.077 0.077 0.660  0.26
O: 0.660 0.077 0.077  0.26
O: 0.079 0.686 0.686  0.05
O: 0.077 0.660 0.077  0.26
O: 0.686 0.079 0.686  0.05

Properties
Its density of states at the Fermi level is 8.680 states/eV/cell. Its uncorrected formation energy is -0.97 eV/atom. The total magnetization is 0.250 μB per atom.


No. 8
A plane-wave DFT calculation with PBE was carried out for a geometry-optimized Rb2SrIr3O12 structure.

a = 7.189 Å, b = 7.189 Å, c = 7.189 Å
α = 62.10°, β = 62.10°, γ = 62.10°
Site moments in Bohr magnetons follow the coordinates.
Atoms (fractional coordinates):
Rb: 0.604 0.604 0.604  0.00
Rb: 0.396 0.396 0.396  0.00
Sr: 0.000 0.000 0.000  0.02
Ir: 0.500 0.000 0.000  0.32
Ir: 0.000 0.500 0.000  0.32
Ir: 0.000 0.000 0.500  0.32
O: 0.284 0.284 0.887  -0.01
O: 0.875 0.875 0.435  0.18
O: 0.435 0.875 0.875  0.18
O: 0.887 0.284 0.284  -0.01
O: 0.875 0.435 0.875  0.18
O: 0.284 0.887 0.284  -0.01
O: 0.716 0.716 0.113  -0.01
O: 0.125 0.125 0.565  0.18
O: 0.565 0.125 0.125  0.18
O: 0.113 0.716 0.716  -0.01
O: 0.125 0.565 0.125  0.18
O: 0.716 0.113 0.716  -0.01

Properties
Its density of states at the Fermi level is 12.856 states/eV/cell. Its uncorrected formation energy is -1.02 eV/atom. The total magnetization is 0.125 μB per atom.


No. 9
A plane-wave DFT calculation with PBE was carried out for a geometry-optimized RbSr2IrO6 structure.

a = 6.450 Å, b = 6.450 Å, c = 6.450 Å
α = 56.67°, β = 56.67°, γ = 56.67°
Site moments in Bohr magnetons follow the coordinates.
Atoms (fractional coordinates):
Rb: 0.481 0.481 0.481  0.01
Sr: 0.213 0.213 0.213  0.02
Sr: 0.698 0.698 0.698  0.01
Ir: 0.011 0.011 0.011  0.99
O: 0.346 0.060 0.851  0.09
O: 0.060 0.851 0.346  0.09
O: 0.943 0.214 0.683  0.14
O: 0.683 0.943 0.214  0.14
O: 0.851 0.346 0.060  0.09
O: 0.214 0.683 0.943  0.14

Properties
Its density of states at the Fermi level is 7.823 states/eV/cell. Its uncorrected formation energy is -1.65 eV/atom. The total magnetization is 0.201 μB per atom.


No. 10
A plane-wave DFT calculation with PBE was carried out for a geometry-optimized Rb3Sr3IrO8 structure.

a = 7.252 Å, b = 7.251 Å, c = 7.793 Å
α = 117.73°, β = 90.00°, γ = 120.00°
Site moments in Bohr magnetons follow the coordinates.
Atoms (fractional coordinates):
Rb: 0.000 0.000 0.000  0.01
Rb: 0.000 0.500 0.000  0.01
Rb: 0.500 0.500 0.000  0.01
Sr: 0.500 0.000 0.500  0.01
Sr: 0.500 0.500 0.500  0.01
Sr: 0.000 0.500 0.500  0.01
Ir: 0.000 0.000 0.500  1.11
O: 0.270 0.540 0.311  -0.10
O: 0.730 0.460 0.689  -0.10
O: 0.815 0.629 0.333  0.13
O: 0.185 0.371 0.667  0.13
O: 0.815 0.019 0.333  0.13
O: 0.185 0.981 0.667  0.13
O: 0.204 0.019 0.333  0.13
O: 0.796 0.981 0.667  0.13

Properties
Its density of states at the Fermi level is 9.560 states/eV/cell. Its uncorrected formation energy is -1.73 eV/atom. The total magnetization is 0.130 μB per atom.


No. 11
A plane-wave DFT calculation with PBE was carried out for a geometry-optimized RbSrIrO6 structure.

a = 5.975 Å, b = 5.975 Å, c = 5.889 Å
α = 89.99°, β = 90.00°, γ = 60.00°
Atoms (fractional coordinates):
Rb: 0.000 0.000 0.000
Sr: 0.667 0.667 0.500
Ir: 0.333 0.333 0.500
O: 0.073 0.344 0.317
O: 0.344 0.073 0.683
O: 0.584 0.344 0.683
O: 0.073 0.584 0.683
O: 0.344 0.584 0.317
O: 0.584 0.073 0.317

Properties
Its uncorrected formation energy is -1.12 eV/atom. The total magnetization is 0.000 μB per atom.


No. 12
A plane-wave DFT calculation with PBE was carried out for a geometry-optimized Rb2SrIrO4 structure.

a = 5.911 Å, b = 5.911 Å, c = 5.911 Å
α = 101.88°, β = 113.39°, γ = 113.39°
Site moments in Bohr magnetons follow the coordinates.
Atoms (fractional coordinates):
Rb: 0.500 0.750 0.250  0.01
Rb: 0.000 0.000 0.000  0.01
Sr: 0.500 0.250 0.750  0.02
Ir: 0.000 0.500 0.500  1.65
O: 0.593 0.289 0.378  0.24
O: 0.089 0.304 0.711  0.24
O: 0.911 0.622 0.215  0.24
O: 0.407 0.785 0.696  0.24

Properties
Its uncorrected formation energy is -1.47 eV/atom. The total magnetization is 0.375 μB per atom.


No. 13
A plane-wave DFT calculation with PBE was carried out for a geometry-optimized Rb2TaIrO6 structure.

a = 5.695 Å, b = 5.695 Å, c = 5.695 Å
α = 120.01°, β = 120.01°, γ = 89.99°
Atoms (fractional coordinates):
Rb: 0.750 0.250 0.500
Rb: 0.250 0.750 0.500
Ta: 0.500 0.500 0.000
Ir: 0.000 0.000 0.000
O: 0.751 0.751 0.000
O: 0.750 0.751 0.501
O: 0.249 0.250 0.000
O: 0.751 0.250 0.000
O: 0.250 0.250 0.499
O: 0.249 0.751 0.000

Properties
Its density of states at the Fermi level is 6.957 states/eV/cell. Its uncorrected formation energy is -1.71 eV/atom. The total magnetization is 0.000 μB per atom.


No. 14
A plane-wave DFT calculation with PBE was carried out for a geometry-optimized RbTaIrO6 structure.

a = 7.443 Å, b = 7.275 Å, c = 7.378 Å
α = 119.54°, β = 120.29°, γ = 90.00°
Site moments in Bohr magnetons follow the coordinates.
Atoms (fractional coordinates):
Rb: 0.879 0.629 0.757  0.01
Rb: 0.121 0.371 0.243  0.01
Ta: 0.500 0.000 0.500  -0.01
Ta: 0.000 0.000 0.500  -0.01
Ir: 0.500 0.500 0.000  1.20
Ir: 0.500 0.000 0.000  1.20
O: 0.432 0.682 0.864  0.17
O: 0.815 0.065 0.629  0.07
O: 0.808 0.065 0.246  0.20
O: 0.438 0.681 0.246  0.20
O: 0.438 0.065 0.246  0.20
O: 0.808 0.681 0.246  0.20
O: 0.568 0.318 0.136  0.17
O: 0.185 0.935 0.371  0.07
O: 0.192 0.935 0.754  0.20
O: 0.562 0.319 0.754  0.20
O: 0.562 0.935 0.754  0.20
O: 0.192 0.319 0.754  0.20

Properties
Its density of states at the Fermi level is 8.379 states/eV/cell. Its uncorrected formation energy is -1.71 eV/atom. The total magnetization is 0.282 μB per atom.


No. 15
A plane-wave DFT calculation with PBE was carried out for a geometry-optimized RbTa2IrO structure.

a = 4.252 Å, b = 5.073 Å, c = 4.252 Å
α = 90.00°, β = 90.00°, γ = 90.00°
Atoms (fractional coordinates):
Ir: 0.000 0.500 0.000
O: 0.000 0.000 0.000
Rb: 0.500 0.500 0.500
Ta: 0.000 0.000 0.500
Ta: 0.500 0.000 0.000

Properties
Its density of states at the Fermi level is 4.067 states/eV/cell. Its uncorrected formation energy is 0.74 eV/atom. The total magnetization is 0.000 μB per atom.


No. 16
A plane-wave DFT calculation with PBE was carried out for a geometry-optimized RbTb2IrO8 structure.

a = 5.169 Å, b = 4.384 Å, c = 7.459 Å
α = 74.18°, β = 90.68°, γ = 92.38°
Site moments in Bohr magnetons follow the coordinates.
Atoms (fractional coordinates):
Rb: 0.000 0.000 0.500  0.00
Tb: 0.480 0.391 0.803  0.01
Tb: 0.520 0.609 0.197  0.01
Ir: 0.000 0.000 0.000  0.43
O: 0.984 0.652 0.222  0.12
O: 0.768 0.775 0.881  0.05
O: 0.689 0.160 0.095  0.03
O: 0.016 0.348 0.778  0.12
O: 0.232 0.225 0.119  0.05
O: 0.311 0.840 0.905  0.03
O: 0.496 0.675 0.490  0.00
O: 0.504 0.325 0.510  0.00

Properties
Its density of states at the Fermi level is 5.968 states/eV/cell. Its uncorrected formation energy is -1.82 eV/atom. The total magnetization is 0.077 μB per atom.


No. 17
A plane-wave DFT calculation with PBE was carried out for a geometry-optimized Rb2TbIr3O12 structure.

a = 7.638 Å, b = 7.638 Å, c = 7.638 Å
α = 57.21°, β = 57.21°, γ = 57.21°
Site moments in Bohr magnetons follow the coordinates.
Atoms (fractional coordinates):
Rb: 0.611 0.611 0.611  0.00
Rb: 0.389 0.389 0.389  0.00
Tb: 0.000 0.000 0.000  0.06
Ir: 0.500 0.000 0.000  0.68
Ir: 0.000 0.500 0.000  0.68
Ir: 0.000 0.000 0.500  0.68
O: 0.311 0.311 0.915  0.02
O: 0.925 0.925 0.357  0.30
O: 0.357 0.925 0.925  0.30
O: 0.915 0.311 0.311  0.02
O: 0.925 0.357 0.925  0.30
O: 0.311 0.915 0.311  0.02
O: 0.689 0.689 0.085  0.02
O: 0.075 0.075 0.643  0.30
O: 0.643 0.075 0.075  0.30
O: 0.085 0.689 0.689  0.02
O: 0.075 0.643 0.075  0.30
O: 0.689 0.085 0.689  0.02

Properties
Its density of states at the Fermi level is 9.258 states/eV/cell. Its uncorrected formation energy is -1.19 eV/atom. The total magnetization is 0.256 μB per atom.


No. 18
A plane-wave DFT calculation with PBE was carried out for a geometry-optimized Rb2TbIrO6 structure.

a = 5.807 Å, b = 6.425 Å, c = 6.425 Å
α = 120.00°, β = 90.00°, γ = 90.00°
Site moments in Bohr magnetons follow the coordinates.
Atoms (fractional coordinates):
Rb: 0.123 0.333 0.667  0.01
Rb: 0.877 0.667 0.333  0.01
Tb: 0.500 0.000 0.000  0.08
Ir: 0.000 0.000 0.000  0.98
O: 0.794 0.137 0.274  0.12
O: 0.794 0.137 0.863  0.12
O: 0.794 0.726 0.863  0.12
O: 0.206 0.863 0.137  0.12
O: 0.206 0.274 0.137  0.12
O: 0.206 0.863 0.726  0.12

Properties
Its density of states at the Fermi level is 6.123 states/eV/cell. Its uncorrected formation energy is -1.54 eV/atom. The total magnetization is 0.203 μB per atom.


No. 19
A plane-wave DFT calculation with PBE was carried out for a geometry-optimized Rb3Tb3IrO8 structure.

a = 6.845 Å, b = 6.845 Å, c = 7.680 Å
α = 116.48°, β = 90.00°, γ = 120.00°
Site moments in Bohr magnetons follow the coordinates.
Atoms (fractional coordinates):
Rb: 0.000 0.000 0.000  0.00
Rb: 0.000 0.500 0.000  0.00
Rb: 0.500 0.500 0.000  0.00
Tb: 0.500 0.000 0.500  0.01
Tb: 0.500 0.500 0.500  0.01
Tb: 0.000 0.500 0.500  0.01
Ir: 0.000 0.000 0.500  0.65
O: 0.276 0.551 0.327  0.00
O: 0.724 0.449 0.673  0.00
O: 0.792 0.583 0.335  0.06
O: 0.208 0.417 0.665  0.06
O: 0.792 0.043 0.335  0.05
O: 0.208 0.957 0.665  0.05
O: 0.252 0.043 0.335  0.05
O: 0.748 0.957 0.665  0.05

Properties
Its density of states at the Fermi level is 7.076 states/eV/cell. Its uncorrected formation energy is -2.27 eV/atom. The total magnetization is 0.071 μB per atom.


No. 20
A plane-wave DFT calculation with PBE was carried out for a geometry-optimized RbTcIrO6 structure.

a = 5.357 Å, b = 5.357 Å, c = 6.167 Å
α = 90.00°, β = 90.00°, γ = 60.00°
Atoms (fractional coordinates):
Rb: 0.000 0.000 0.000
Tc: 0.667 0.667 0.500
Ir: 0.333 0.333 0.500
O: 0.995 0.396 0.331
O: 0.396 0.995 0.669
O: 0.609 0.396 0.669
O: 0.995 0.609 0.669
O: 0.396 0.609 0.331
O: 0.609 0.995 0.331

Properties
Its density of states at the Fermi level is 4.691 states/eV/cell. Its uncorrected formation energy is -1.19 eV/atom. The total magnetization is 0.000 μB per atom.